Material: MgSc2Ta
Method: DFT, SCAN
State: single point on PBEsol structure

Values from the calculation:
- Formation energy: 0.23 eV per atom
- Calculated total energy: -1.821 Ry per atom
- N(E_F): 3.68 states/eV/cell

a = 5.254 Å, b = 5.254 Å, c = 5.254 Å
α = 130.60°, β = 130.60°, γ = 72.45°
Positions (direct):
Mg (0.000, 0.000, 0.000)
Sc (0.250, 0.750, 0.500)
Sc (0.750, 0.250, 0.500)
Ta (0.500, 0.500, 0.000)



Material: ScAl2Os
Method: DFT, SCAN
State: single point on PBEsol structure

Values from the calculation:
- Formation energy: -0.47 eV per atom
- Calculated total energy: -1.902 Ry per atom
- N(E_F): 1.83 states/eV/cell

a = 3.865 Å, b = 3.865 Å, c = 4.169 Å
α = 90.00°, β = 90.00°, γ = 90.00°
Positions (direct):
Sc (0.000, 0.000, 0.000)
Al (0.000, 0.500, 0.500)
Al (0.500, 0.000, 0.500)
Os (0.500, 0.500, 0.000)



Material: Tm3PbC
Method: DFT, SCAN
State: single point on PBEsol structure

Values from the calculation:
- Formation energy: -0.75 eV per atom
- Calculated total energy: -3.604 Ry per atom
- N(E_F): 1.96 states/eV/cell

a = 4.769 Å, b = 4.769 Å, c = 4.769 Å
α = 90.00°, β = 90.00°, γ = 90.00°
Positions (direct):
Tm (0.000, 0.000, 0.500)
Tm (0.000, 0.500, 0.000)
Tm (0.500, 0.000, 0.000)
Pb (0.500, 0.500, 0.500)
C (0.000, 0.000, 0.000)



Material: ReSb2Te
Method: DFT, SCAN
State: single point on PBEsol structure

Values from the calculation:
- Calculated total energy: -3.321 Ry per atom
- N(E_F): 3.16 states/eV/cell

a = 6.710 Å, b = 6.710 Å, c = 6.710 Å
α = 152.05°, β = 138.72°, γ = 50.59°
Positions (direct):
Re (0.000, 0.000, 0.000)
Sb (0.184, 0.684, 0.500)
Sb (0.816, 0.316, 0.500)
Te (0.500, 0.500, 0.000)



Material: HfAl3Au
Method: DFT, SCAN
State: single point on PBEsol structure

Values from the calculation:
- Formation energy: 1.24 eV per atom
- Calculated total energy: -2.188 Ry per atom
- N(E_F): 3.12 states/eV/cell

a = 5.086 Å, b = 5.086 Å, c = 5.086 Å
α = 90.00°, β = 90.00°, γ = 90.00°
Positions (direct):
Hf (0.000, 0.000, 0.000)
Al (0.000, 0.000, 0.500)
Al (0.000, 0.500, 0.000)
Al (0.500, 0.000, 0.000)
Au (0.500, 0.500, 0.500)



Material: KBaLa2
Method: DFT, SCAN
State: single point on PBEsol structure

Values from the calculation:
- Formation energy: 0.30 eV per atom
- Calculated total energy: -2.442 Ry per atom
- Energy relative to the lowest polymorph listed for this composition: 0.0000 eV per atom
- N(E_F): 5.19 states/eV/cell

a = 13.876 Å, b = 13.876 Å, c = 13.876 Å
α = 15.64°, β = 15.64°, γ = 15.64°
Positions (direct):
K (0.000, 0.000, 0.000)
Ba (0.500, 0.500, 0.500)
La (0.245, 0.245, 0.245)
La (0.755, 0.755, 0.755)



- Among the records above, which one has the lowest calculated total energy?
  Tm3PbC



- Among the records above, which one has the lowest calculated total energy?
  Tm3PbC



- Which of these has the lowest N(E_F)?
  ScAl2Os